Below is LaCu2Pb2 after structural relaxation, with properties calculated at the PBE level.

formation energy from the elements	-0.19	eV per atom

Cell: 4.6323 4.6323 6.4365 Å, 68.91 68.91 90.00°
Last column: nearest neighbours and their distance in Å.
Atoms (fractional coordinates):
Pb1 0.7500 0.2500 0.5000  4 Cu 2.81
Pb2 0.2500 0.7500 0.5000  4 Cu 2.81
Cu1 0.3931 0.3931 0.2137  1 Cu 2.37
Cu2 0.6069 0.6069 0.7863  1 Cu 2.37
La1 0.0000 0.0000 0.0000  8 Cu 3.48, 8 Pb 3.61


Below is TmPuSbPd after structural relaxation, with properties calculated at the PBE level.

ΔE_f (raw)	-612.2	meV per atom

Cell: 5.1466 5.1466 5.1466 Å, 60.00 60.00 60.00°
Last column: nearest neighbours and their distance in Å.
Atoms (fractional coordinates):
Pd1 0.0000 0.0000 0.0000  4 Pu 3.15, 4 Tm 3.15
Tm1 0.2500 0.2500 0.2500  4 Pd 3.15, 4 Sb 3.15
Pu1 0.7500 0.7500 0.7500  4 Sb 3.15, 4 Pd 3.15
Sb1 0.5000 0.5000 0.5000  4 Tm 3.15, 4 Pu 3.15


Below is TbSc2Cl8 after structural relaxation, with properties calculated at the PBE level.

ΔE_f (raw)	-1974.1	meV per atom

Cell: 6.4850 8.0331 8.0331 Å, 76.93 87.39 87.39°
Last column: nearest neighbours and their distance in Å.
Atoms (fractional coordinates):
Sc1 0.6384 0.8027 0.8027  4 Cl 2.29-2.45
Sc2 0.3616 0.1973 0.1973  4 Cl 2.29-2.45
Cl1 0.7668 0.0906 0.7224  1 Sc 2.43, 1 Tb 2.70
Cl2 0.7400 0.1776 0.1776  1 Sc 2.45, 1 Tb 2.72
Cl3 0.2332 0.9094 0.2776  1 Sc 2.43, 1 Tb 2.70
Cl4 0.2451 0.3724 0.3724  1 Sc 2.29
Cl5 0.2332 0.2776 0.9094  1 Sc 2.43, 1 Tb 2.70
Cl6 0.7549 0.6276 0.6276  1 Sc 2.29
Cl7 0.2600 0.8224 0.8224  1 Sc 2.45, 1 Tb 2.72
Cl8 0.7668 0.7224 0.0906  1 Sc 2.43, 1 Tb 2.70
Tb1 0.0000 0.0000 0.0000  6 Cl 2.70-2.72


no.,total magnetization (μB/f.u.),V (Å³/cell),DOS(E_F) (states/eV per atom)
1,0.0,118.9,0.51
2,6.2,96.4,2.69
3,1.0,407.0,0.08